The following is a DFT calculation (PBE-GGA) of crystalline Ac2Tb6Sm at its relaxed geometry.

Energy relative to the elements in eV/atom: 0.11
Calculated density in g/cm3: 8.17
Crystal system: monoclinic
Space group: C2/m
Electronic total energy in eV/cell: -39.7

a b c (Å): 5.798 6.731 13.484
angles (deg): 140.29 102.42 90.00
Sites, in units of the cell vectors:
Ac 0.616 0.387 0.231
Ac 0.384 0.613 0.769
Tb 0.748 0.351 0.497
Tb 0.252 0.649 0.503
Tb 0.168 0.893 0.337
Tb 0.968 0.144 0.937
Tb 0.032 0.856 0.063
Tb 0.832 0.107 0.663
Sm 0.500 0.500 0.000